Entry 1:
Below is a relaxed Li5In crystal, with properties calculated at the PBE level.

CIF file:
```
data_Li5In
_space_group_name_H-M_alt 'C 1 2/m 1'
_space_group_IT_number 12
_cell_length_a 8.2343
_cell_length_b 4.7464
_cell_length_c 5.7068
_cell_angle_alpha 90.00
_cell_angle_beta 92.23
_cell_angle_gamma 90.00
loop_
_space_group_symop_operation_xyz
'x,y,z'
'-x,-y,-z'
'-x,y,-z'
'x,-y,z'
'x+1/2,y+1/2,z'
'-x+1/2,-y+1/2,-z'
'-x+1/2,y+1/2,-z'
'x+1/2,-y+1/2,z'
loop_
_atom_site_label
_atom_site_fract_x
_atom_site_fract_y
_atom_site_fract_z
Li1 0.0000 0.0000 0.0000
Li2 0.1645 0.5000 0.2686
Li3 0.1688 0.5000 0.7345
In1 0.0000 0.0000 0.5000
```

**V**: 222.9 Å³ per cell
**Energy relative to the lowest polymorph listed for this composition**: 12 meV per atom
**Formation enthalpy at 0 K**: -0.17 eV per atom
**Energy**: -2.2197 eV/atom



Entry 2:
Below is a relaxed LiIn5 crystal, with properties calculated at the PBE level.

CIF file:
```
data_LiIn5
_space_group_name_H-M_alt 'C m m m'
_space_group_IT_number 65
_space_group_name_Hall '-C 2 2'
_cell_length_a 4.5781
_cell_length_b 13.9673
_cell_length_c 4.6814
_cell_angle_alpha 90.00
_cell_angle_beta 90.00
_cell_angle_gamma 90.00
loop_
_atom_site_label
_atom_site_fract_x
_atom_site_fract_y
_atom_site_fract_z
Li1 0.0000 0.0000 0.0000
In1 0.0000 0.1619 0.5000
In2 0.0000 0.3367 0.0000
In3 0.0000 0.5000 0.5000
```

**V**: 299.3 Å³ per cell
**Energy relative to the lowest polymorph listed for this composition**: 0 meV per atom
**Formation enthalpy at 0 K**: -0.08 eV per atom
**Energy**: -2.6818 eV/atom



Entry 3:
Below is a relaxed Li5In crystal, with properties calculated at the PBE level.

CIF file:
```
data_Li5In
_space_group_name_H-M_alt 'C m m m'
_space_group_IT_number 65
_space_group_name_Hall '-C 2 2'
_cell_length_a 3.8810
_cell_length_b 12.8507
_cell_length_c 4.5413
_cell_angle_alpha 90.00
_cell_angle_beta 90.00
_cell_angle_gamma 90.00
loop_
_atom_site_label
_atom_site_fract_x
_atom_site_fract_y
_atom_site_fract_z
Li1 0.0000 0.0000 0.0000
Li2 0.0000 0.1668 0.5000
Li3 0.0000 0.3407 0.0000
In1 0.0000 0.5000 0.5000
```

**V**: 226.5 Å³ per cell
**Energy relative to the lowest polymorph listed for this composition**: 28 meV per atom
**Formation enthalpy at 0 K**: -0.15 eV per atom
**Energy**: -2.2038 eV/atom



Entry 4:
Below is a relaxed LiIn6 crystal, with properties calculated at the PBE level.

CIF file:
```
data_LiIn6
_space_group_name_H-M_alt 'R -3 m'
_space_group_IT_number 166
_space_group_name_Hall '-R 3 2"'
_cell_length_a 5.3614
_cell_length_b 5.3614
_cell_length_c 21.8003
_cell_angle_alpha 90.00
_cell_angle_beta 90.00
_cell_angle_gamma 120.00
loop_
_atom_site_label
_atom_site_fract_x
_atom_site_fract_y
_atom_site_fract_z
Li1 0.0000 0.0000 0.0000
In1 0.0000 0.0000 0.1353
In2 0.0000 0.0000 0.2790
In3 0.0000 0.0000 0.4257
```

**V**: 542.7 Å³ per cell
**Energy relative to the lowest polymorph listed for this composition**: 0 meV per atom
**Formation enthalpy at 0 K**: -0.04 eV per atom
**Energy**: -2.6625 eV/atom